Compound: InI2Cl
Source: Alexandria via LeMat-Bulk
Functional: PBE
Structure: optimized geometry Values from VASP.

```
&SYSTEM
  ibrav = 0, nat = 4, ntyp = 3
/
ATOMIC_SPECIES
I 126.90 I.upf
Cl 35.45 Cl.upf
In 114.82 In.upf
CELL_PARAMETERS angstrom
0.0000 3.8763 3.8763
3.8763 0.0000 3.8763
3.8763 3.8763 0.0000
ATOMIC_POSITIONS angstrom
I 1.9381 1.9381 1.9381
I 5.8144 5.8144 5.8144
Cl 0.0000 0.0000 0.0000
In 3.8763 3.8763 3.8763
```

Values from the calculation:
Raw formation energy: -45 meV per atom
ΔE to the lowest computed polymorph: 0.580 eV per atom
D(E_F): 0.814 states/eV per atom